DFT (PBE) results for LiAlS2 after structural relaxation.

Results
formation energy from raw total energies = -1.14 eV per atom
V = 20.2 Å³/atom
spin magnetization = 0.000 μB per formula unit

Unit cell a=3.7930 b=3.7930 c=19.4373 alpha=90.00 beta=90.00 gamma=120.00
Space group R3m (No. 160, hexagonal axes)
Inequivalent atoms, fractional coordinates:
1 Li 0.0000 0.0000 0.0000 (multiplicity 3)
2 Al 0.0000 0.0000 0.5190 (multiplicity 3)
3 S 0.0000 0.0000 0.1354 (multiplicity 3)
4 S 0.0000 0.0000 0.6288 (multiplicity 3)